1.
PBE CdTc, optimized geometry; D(E_F) = 10.6 states/eV/cell; VASP energy = -4.786 eV per atom; ΔH_f (0 K) = 0.8546 eV/atom
1.0
5.2040 0.0000 0.0000
0.0000 5.2040 0.0000
0.0000 0.0000 5.2040
Cd Tc
4 4
Direct
0.0975 0.4025 0.5975
0.4025 0.5975 0.0975
0.5975 0.0975 0.4025
0.9025 0.9025 0.9025
0.1026 0.8974 0.3974
0.3974 0.1026 0.8974
0.6026 0.6026 0.6026
0.8974 0.3974 0.1026

2.
PBE Sr3Te, optimized geometry; D(E_F) = 7.8 states/eV/cell; VASP energy = -2.531 eV per atom; energy relative to the elements, uncorrected = -0.484 eV/atom
1.0
7.5328 0.0000 0.0000
0.0000 10.1639 0.0000
0.0000 0.0000 4.4558
Sr Te
6 2
Direct
0.0000 0.0000 0.0000
0.2500 0.2500 0.5000
0.2500 0.7500 0.5000
0.5000 0.5000 0.0000
0.7500 0.2500 0.5000
0.7500 0.7500 0.5000
0.0000 0.5000 0.0000
0.5000 0.0000 0.0000

3.
PBE Rb14Tm2O9, optimized geometry; D(E_F) = 4.6 states/eV/cell; VASP energy = -4.052 eV per atom; energy relative to the elements, uncorrected = -1.368 eV/atom
1.0
8.2874 0.0000 0.0000
-4.1437 7.1771 0.0000
0.0000 0.0000 11.6869
Rb Tm O
14 2 9
Direct
0.0000 0.0000 0.2483
0.0000 0.0000 0.7517
0.0107 0.6608 0.4030
0.0954 0.3914 0.0930
0.2960 0.9046 0.0930
0.3392 0.3499 0.4030
0.3499 0.0107 0.5970
0.3914 0.2960 0.9070
0.6086 0.7040 0.0930
0.6501 0.9893 0.4030
0.6608 0.6501 0.5970
0.7040 0.0954 0.9070
0.9046 0.6086 0.9070
0.9893 0.3392 0.5970
0.3333 0.6667 0.7876
0.6667 0.3333 0.2124
0.0000 0.0000 0.5000
0.1220 0.3943 0.8458
0.2723 0.8780 0.8458
0.3333 0.6667 0.6061
0.3943 0.2723 0.1542
0.6057 0.7277 0.8458
0.6667 0.3333 0.3939
0.7277 0.1220 0.1542
0.8780 0.6057 0.1542

4.
PBE Tl8HgSb2, optimized geometry; D(E_F) = 4.3 states/eV/cell; VASP energy = -2.508 eV per atom; energy relative to the elements, uncorrected = -0.010 eV/atom
1.0
9.5956 -2.4265 0.0000
9.5956 2.4265 0.0000
-0.4843 0.0000 7.6873
Tl Hg Sb
8 1 2
Direct
0.0067 0.0067 0.2357
0.2106 0.2106 0.8340
0.3363 0.3363 0.4723
0.3993 0.3993 0.9976
0.6007 0.6007 0.0024
0.6637 0.6637 0.5277
0.7894 0.7894 0.1660
0.9933 0.9933 0.7643
0.5000 0.5000 0.5000
0.1736 0.1736 0.2571
0.8264 0.8264 0.7429

5.
PBE FeHgPb2, optimized geometry; D(E_F) = 3.3 states/eV/cell; VASP energy = -3.660 eV per atom; ΔH_f (0 K) = 0.3857 eV/atom
1.0
4.0102 0.0000 0.0000
0.0000 4.2491 0.0000
-1.9518 0.0000 5.7111
Fe Hg Pb
1 1 2
Direct
0.0000 0.0000 0.0000
0.1559 0.5000 0.3074
0.4415 0.5000 0.8728
0.7464 0.0000 0.4921

6.
PBE Y2TlPd, optimized geometry; D(E_F) = 19.7 states/eV/cell; VASP energy = -5.411 eV per atom; ΔH_f (0 K) = -0.2889 eV/atom
1.0
8.0126 0.0000 0.0000
0.0000 8.0126 0.0000
0.0000 0.0000 6.7845
Y Tl Pd
8 4 4
Direct
0.2106 0.7500 0.1250
0.2500 0.2106 0.8750
0.2500 0.2894 0.3750
0.2894 0.7500 0.6250
0.7106 0.2500 0.6250
0.7500 0.7106 0.3750
0.7500 0.7894 0.8750
0.7894 0.2500 0.1250
0.0000 0.0000 0.5000
0.0000 0.5000 0.7500
0.5000 0.0000 0.2500
0.5000 0.5000 0.0000
0.0000 0.0000 0.0000
0.0000 0.5000 0.2500
0.5000 0.0000 0.7500
0.5000 0.5000 0.5000

Question: D(E_F) of number 4 (Tl8HgSb2)?
Answer: 4.3 states/eV/cell